1.
VASP calculation (PBE-GGA) on a geometry-optimized Hf2PaAs structure.

Structure (POSCAR):
```
Hf2PaAs
1.0
1.710 0.987 8.834
-1.710 0.987 8.834
0.000 -1.974 8.834
Hf Pa As
2 1 1
Direct
0.000 0.000 0.000 Hf
0.198 0.198 0.198 Hf
0.766 0.766 0.766 Pa
0.599 0.599 0.599 As
```

## Properties
**DFT total energy**: -8.79 eV/atom
**DFT formation energy**: -278 meV/atom
**Energy above the most stable polymorph in this dataset**: 0.000 eV/atom
**DOS at the Fermi energy**: 1.145 states/eV/atom

2.
VASP calculation (PBE-GGA) on a geometry-optimized Hf2PaAs4 structure.

Structure (POSCAR):
```
Hf2PaAs4
1.0
1.947 -6.208 0.000
1.947 6.208 0.000
0.000 0.000 12.946
Hf Pa As
4 2 8
Direct
0.133 0.867 0.560 Hf
0.133 0.867 0.940 Hf
0.867 0.133 0.060 Hf
0.867 0.133 0.440 Hf
0.386 0.614 0.750 Pa
0.614 0.386 0.250 Pa
0.054 0.946 0.750 As
0.230 0.770 0.128 As
0.230 0.770 0.372 As
0.500 0.500 0.000 As
0.500 0.500 0.500 As
0.770 0.230 0.628 As
0.770 0.230 0.872 As
0.946 0.054 0.250 As
```

## Properties
**DFT total energy**: -7.74 eV/atom
**DFT formation energy**: -883 meV/atom
**DOS at the Fermi energy**: 0.451 states/eV/atom

3.
VASP calculation (PBE-GGA) on a geometry-optimized Hf2PaAs structure.

Structure (POSCAR):
```
Hf2PaAs
1.0
1.676 0.968 9.569
-1.676 0.968 9.569
0.000 -1.935 9.569
Hf Pa As
2 1 1
Direct
0.104 0.104 0.104 Hf
0.896 0.896 0.896 Hf
0.000 0.000 0.000 Pa
0.500 0.500 0.500 As
```

## Properties
**DFT total energy**: -8.41 eV/atom
**DFT formation energy**: 99 meV/atom
**Energy above the most stable polymorph in this dataset**: 0.377 eV/atom
**DOS at the Fermi energy**: 1.357 states/eV/atom

4.
VASP calculation (PBE-GGA) on a geometry-optimized HfPaAs3 structure.

Structure (POSCAR):
```
HfPaAs3
1.0
12.217 0.000 0.000
0.000 5.930 0.000
0.000 0.000 5.975
Hf Pa As
4 4 12
Direct
0.083 0.250 0.000 Hf
0.083 0.250 0.500 Hf
0.917 0.750 0.000 Hf
0.917 0.750 0.500 Hf
0.325 0.508 0.250 Pa
0.325 0.992 0.750 Pa
0.675 0.008 0.250 Pa
0.675 0.492 0.750 Pa
0.091 0.621 0.250 As
0.091 0.879 0.750 As
0.252 0.026 0.250 As
0.252 0.474 0.750 As
0.499 0.250 0.000 As
0.499 0.250 0.500 As
0.501 0.750 0.000 As
0.501 0.750 0.500 As
0.748 0.526 0.250 As
0.748 0.974 0.750 As
0.909 0.121 0.250 As
0.909 0.379 0.750 As
```

## Properties
**DFT total energy**: -7.45 eV/atom
**DFT formation energy**: -772 meV/atom
**DOS at the Fermi energy**: 0.839 states/eV/atom

5.
VASP calculation (PBE-GGA) on a geometry-optimized HfPa2As3 structure.

Structure (POSCAR):
```
HfPa2As3
1.0
-2.015 2.015 8.460
2.015 -2.015 8.460
2.015 2.015 -8.460
Hf Pa As
1 2 3
Direct
0.000 0.000 0.000 Hf
0.333 0.333 0.000 Pa
0.667 0.667 0.000 Pa
0.160 0.160 0.000 As
0.500 0.500 0.000 As
0.840 0.840 0.000 As
```

## Properties
**DFT total energy**: -8.14 eV/atom
**DFT formation energy**: -991 meV/atom
**DOS at the Fermi energy**: 1.119 states/eV/atom

6.
VASP calculation (PBE-GGA) on a geometry-optimized HfPaAs3Pd structure.

Structure (POSCAR):
```
HfPaAs3Pd
1.0
7.444 0.000 0.000
0.000 3.914 0.000
-2.145 0.000 8.524
Hf Pa As Pd
2 2 6 2
Direct
0.180 0.250 0.170 Hf
0.820 0.750 0.830 Hf
0.298 0.750 0.743 Pa
0.702 0.250 0.257 Pa
0.076 0.250 0.848 As
0.203 0.250 0.482 As
0.420 0.750 0.124 As
0.580 0.250 0.876 As
0.797 0.750 0.518 As
0.924 0.750 0.152 As
0.389 0.750 0.409 Pd
0.611 0.250 0.591 Pd
```

## Properties
**DFT total energy**: -7.30 eV/atom
**DFT formation energy**: -868 meV/atom
**DOS at the Fermi energy**: 0.362 states/eV/atom

7.
VASP calculation (PBE-GGA) on a geometry-optimized Pr2HfPaAs4 structure.

Structure (POSCAR):
```
Pr2HfPaAs4
1.0
7.083 0.000 0.000
0.000 4.119 0.000
-2.369 0.000 6.815
Pr Hf Pa As
2 1 1 4
Direct
0.000 0.000 0.000 Pr
0.500 0.500 0.000 Pr
0.000 0.500 0.500 Hf
0.500 0.000 0.500 Pa
0.234 0.000 0.723 As
0.248 0.500 0.271 As
0.752 0.500 0.729 As
0.766 0.000 0.277 As
```

## Properties
**DFT total energy**: -7.20 eV/atom
**DFT formation energy**: -1246 meV/atom
**DOS at the Fermi energy**: 0.688 states/eV/atom

8.
VASP calculation (PBE-GGA) on a geometry-optimized PuHfPa2As4 structure.

Structure (POSCAR):
```
PuHfPa2As4
1.0
6.943 0.000 0.000
0.000 4.050 0.000
-2.349 0.000 6.604
Pu Hf Pa As
1 1 2 4
Direct
0.000 0.000 0.000 Pu
0.000 0.500 0.500 Hf
0.500 0.000 0.500 Pa
0.500 0.500 0.000 Pa
0.238 0.000 0.738 As
0.244 0.500 0.257 As
0.756 0.500 0.743 As
0.762 0.000 0.262 As
```

## Properties
**DFT total energy**: -8.77 eV/atom
**DFT formation energy**: -1038 meV/atom
**DOS at the Fermi energy**: 1.488 states/eV/atom

9.
VASP calculation (PBE-GGA) on a geometry-optimized Pu2HfPaAs4 structure.

Structure (POSCAR):
```
Pu2HfPaAs4
1.0
7.008 0.000 0.000
0.000 4.057 0.000
-2.342 0.000 6.609
Pu Hf Pa As
2 1 1 4
Direct
0.000 0.000 0.000 Pu
0.500 0.500 0.000 Pu
0.000 0.500 0.500 Hf
0.500 0.000 0.500 Pa
0.238 0.000 0.736 As
0.243 0.500 0.259 As
0.757 0.500 0.741 As
0.762 0.000 0.264 As
```

## Properties
**DFT total energy**: -9.39 eV/atom
**DFT formation energy**: -1054 meV/atom
**DOS at the Fermi energy**: 2.639 states/eV/atom

10.
VASP calculation (PBE-GGA) on a geometry-optimized Hf2ScPaAs4 structure.

Structure (POSCAR):
```
Hf2ScPaAs4
1.0
6.754 0.000 0.000
0.000 3.930 0.000
-2.271 0.000 6.385
Hf Sc Pa As
2 1 1 4
Direct
0.000 0.000 0.000 Hf
0.000 0.500 0.500 Hf
0.500 0.000 0.500 Sc
0.500 0.500 0.000 Pa
0.238 0.000 0.738 As
0.243 0.500 0.254 As
0.757 0.500 0.746 As
0.762 0.000 0.262 As
```

## Properties
**DFT total energy**: -7.89 eV/atom
**DFT formation energy**: -1100 meV/atom
**DOS at the Fermi energy**: 0.659 states/eV/atom

11.
VASP calculation (PBE-GGA) on a geometry-optimized Sm3Hf2PaAs6 structure.

Structure (POSCAR):
```
Sm3Hf2PaAs6
1.0
3.498 -6.063 0.000
3.498 6.063 0.000
-2.342 0.000 6.689
Sm Hf Pa As
3 2 1 6
Direct
0.000 0.000 0.000 Sm
0.336 0.664 0.000 Sm
0.664 0.336 0.000 Sm
0.167 0.833 0.500 Hf
0.833 0.167 0.500 Hf
0.500 0.500 0.500 Pa
0.082 0.423 0.268 As
0.234 0.234 0.727 As
0.423 0.082 0.268 As
0.577 0.918 0.732 As
0.766 0.766 0.273 As
0.918 0.577 0.732 As
```

## Properties
**DFT total energy**: -7.21 eV/atom
**DFT formation energy**: -1260 meV/atom
**DOS at the Fermi energy**: 0.620 states/eV/atom

12.
VASP calculation (PBE-GGA) on a geometry-optimized Sm2HfPaAs4 structure.

Structure (POSCAR):
```
Sm2HfPaAs4
1.0
7.021 0.000 0.000
0.000 4.079 0.000
-2.346 0.000 6.715
Sm Hf Pa As
2 1 1 4
Direct
0.000 0.000 0.000 Sm
0.500 0.500 0.000 Sm
0.000 0.500 0.500 Hf
0.500 0.000 0.500 Pa
0.236 0.000 0.730 As
0.246 0.500 0.264 As
0.754 0.500 0.736 As
0.764 0.000 0.270 As
```

## Properties
**DFT total energy**: -7.20 eV/atom
**DFT formation energy**: -1261 meV/atom
**DOS at the Fermi energy**: 0.681 states/eV/atom

What is the DFT total energy in the third record? -8.41 eV/atom

Which value of DOS at the Fermi energy does entry 2 give? 0.451 states/eV/atom

Which of these has the highest DFT formation energy? number 3

What is the DFT total energy in the second record? -7.74 eV/atom